(1)
Material: Ac3Cu2Ru
Method: DFT, GGA-PBE
State: optimized geometry

a = 12.556 Å, b = 4.306 Å, c = 12.531 Å
α = 90.00°, β = 90.00°, γ = 90.00°
Fractional coordinates of all 24 atoms:
Ac 0.055 0.250 0.126
Ac 0.117 0.750 0.555
Ac 0.224 0.250 0.799
Ac 0.276 0.750 0.299
Ac 0.383 0.250 0.055
Ac 0.445 0.750 0.626
Ac 0.555 0.250 0.374
Ac 0.617 0.750 0.945
Ac 0.724 0.250 0.701
Ac 0.776 0.750 0.201
Ac 0.883 0.250 0.445
Ac 0.945 0.750 0.874
Cu 0.023 0.750 0.313
Cu 0.197 0.750 0.994
Cu 0.303 0.250 0.494
Cu 0.477 0.250 0.813
Cu 0.523 0.750 0.187
Cu 0.697 0.750 0.506
Cu 0.803 0.250 0.006
Cu 0.977 0.250 0.687
Ru 0.128 0.250 0.369
Ru 0.372 0.750 0.869
Ru 0.628 0.250 0.131
Ru 0.872 0.750 0.631

Computed properties:
Calculated volume = 169 Å³/f.u.
Size of the total moment = 0.000 μB per atom
SG = Pnma (62)
Energy of formation = -131 meV/atom

(2)
Material: NiPd3Se2
Method: DFT, GGA-PBE
State: optimized geometry

a = 7.277 Å, b = 7.277 Å, c = 7.277 Å
α = 132.13°, β = 67.85°, γ = 134.93°
Fractional coordinates of all 12 atoms:
Ni 0.250 0.250 0.000
Ni 0.750 0.750 0.000
Pd 0.163 0.218 0.380
Pd 0.250 0.750 0.500
Pd 0.337 0.718 0.055
Pd 0.663 0.282 0.945
Pd 0.750 0.250 0.500
Pd 0.837 0.782 0.620
Se 0.128 0.778 0.906
Se 0.372 0.278 0.650
Se 0.628 0.722 0.350
Se 0.872 0.222 0.094

Computed properties:
Calculated volume = 99 Å³/f.u.
Size of the total moment = 0.000 μB per atom
SG = Ibam (72)
ΔE_f (raw) = -112 meV per atom

(3)
Material: SnAsOsAuCl
Method: DFT, GGA-PBE
State: optimized geometry

a = 4.607 Å, b = 3.183 Å, c = 7.415 Å
α = 90.00°, β = 91.43°, γ = 90.00°
Fractional coordinates of all 5 atoms:
Sn 0.000 0.000 0.000
As 0.959 0.000 0.443
Os 0.964 0.500 0.682
Au 0.466 0.000 0.687
Cl 0.460 0.500 0.165

Computed properties:
Calculated volume = 109 Å³/f.u.
Size of the total moment = 0.000 μB per atom
SG = Pm (6)
ΔE_f (raw) = 52 meV per atom

(4)
Material: TbSmSi3
Method: DFT, GGA-PBE
State: optimized geometry

a = 12.510 Å, b = 12.510 Å, c = 3.969 Å
α = 90.00°, β = 90.00°, γ = 160.59°
Fractional coordinates of all 10 atoms:
Tb 0.203 0.797 0.750
Tb 0.797 0.203 0.250
Sm 0.070 0.930 0.250
Sm 0.930 0.070 0.750
Si 0.322 0.678 0.750
Si 0.380 0.620 0.250
Si 0.475 0.525 0.250
Si 0.525 0.475 0.750
Si 0.620 0.380 0.750
Si 0.678 0.322 0.250

Computed properties:
Calculated volume = 103 Å³/f.u.
Size of the total moment = 0.000 μB per atom
SG = Cmcm (63)
ΔE_f (raw) = -702 meV per atom

(5)
Material: PmEr5Mg4
Method: DFT, GGA-PBE
State: optimized geometry

a = 3.724 Å, b = 3.724 Å, c = 20.129 Å
α = 90.00°, β = 90.00°, γ = 90.00°
Fractional coordinates of all 10 atoms:
Pm 0.000 0.000 0.000
Er 0.500 0.500 0.121
Er 0.500 0.500 0.311
Er 0.500 0.500 0.500
Er 0.500 0.500 0.689
Er 0.500 0.500 0.879
Mg 0.000 0.000 0.217
Mg 0.000 0.000 0.405
Mg 0.000 0.000 0.595
Mg 0.000 0.000 0.783

Computed properties:
Calculated volume = 279 Å³/f.u.
Size of the total moment = 0.000 μB per atom
SG = P4/mmm (123)
Energy of formation = -46 meV/atom

(6)
Material: TaZnIrPd
Method: DFT, GGA-PBE
State: optimized geometry

a = 4.712 Å, b = 4.712 Å, c = 4.712 Å
α = 129.30°, β = 129.30°, γ = 74.53°
Fractional coordinates of all 4 atoms:
Ta 0.000 0.000 0.000
Zn 0.500 0.500 0.000
Ir 0.750 0.250 0.500
Pd 0.250 0.750 0.500

Computed properties:
Calculated volume = 61 Å³/f.u.
Size of the total moment = 0.000 μB per atom
SG = I-4m2 (119)
Energy of formation = -462 meV/atom

(7)
Material: La2Y
Method: DFT, GGA-PBE
State: optimized geometry

a = 7.724 Å, b = 7.724 Å, c = 7.724 Å
α = 90.00°, β = 90.00°, γ = 90.00°
Fractional coordinates of all 12 atoms:
La 0.162 0.162 0.162
La 0.162 0.338 0.662
La 0.338 0.662 0.162
La 0.338 0.838 0.662
La 0.662 0.162 0.338
La 0.662 0.338 0.838
La 0.838 0.662 0.338
La 0.838 0.838 0.838
Y 0.000 0.000 0.500
Y 0.000 0.500 0.000
Y 0.500 0.000 0.000
Y 0.500 0.500 0.500

Computed properties:
Calculated volume = 115 Å³/f.u.
Size of the total moment = 0.000 μB per atom
SG = Pa-3 (205)
Energy of formation = 583 meV/atom

(8)
Material: TbPu2Tl
Method: DFT, GGA-PBE
State: optimized geometry

a = 4.550 Å, b = 4.550 Å, c = 5.210 Å
α = 90.00°, β = 90.00°, γ = 90.00°
Fractional coordinates of all 4 atoms:
Tb 0.000 0.000 0.000
Pu 0.000 0.500 0.500
Pu 0.500 0.000 0.500
Tl 0.500 0.500 0.000

Computed properties:
Calculated volume = 108 Å³/f.u.
Size of the total moment = 3.004 μB per atom
SG = P4/mmm (123)
Energy of formation = -42 meV/atom

(9)
Material: CrFeSe2
Method: DFT, GGA-PBE
State: optimized geometry

a = 4.507 Å, b = 4.507 Å, c = 4.507 Å
α = 60.00°, β = 60.00°, γ = 60.00°
Fractional coordinates of all 4 atoms:
Cr 0.000 0.000 0.000
Fe 0.750 0.750 0.750
Se 0.250 0.250 0.250
Se 0.500 0.500 0.500

Computed properties:
Calculated volume = 65 Å³/f.u.
Size of the total moment = 1.382 μB per atom
SG = F-43m (216)
ΔE_f (raw) = 684 meV per atom

(10)
Material: Dy2ThSc7
Method: DFT, GGA-PBE
State: optimized geometry

a = 13.897 Å, b = 13.897 Å, c = 3.318 Å
α = 90.00°, β = 90.00°, γ = 154.87°
Fractional coordinates of all 10 atoms:
Dy 0.210 0.790 0.000
Dy 0.790 0.210 0.000
Th 0.500 0.500 0.500
Sc 0.000 0.000 0.000
Sc 0.155 0.352 0.000
Sc 0.317 0.683 0.500
Sc 0.352 0.155 0.000
Sc 0.648 0.845 0.000
Sc 0.683 0.317 0.500
Sc 0.845 0.648 0.000

Computed properties:
Calculated volume = 272 Å³/f.u.
Size of the total moment = 0.000 μB per atom
SG = Cmmm (65)
Energy of formation = 148 meV/atom

(11)
Material: PrNdAgOs
Method: DFT, GGA-PBE
State: optimized geometry

a = 5.129 Å, b = 5.129 Å, c = 5.129 Å
α = 60.00°, β = 60.00°, γ = 60.00°
Fractional coordinates of all 4 atoms:
Pr 0.000 0.000 0.000
Nd 0.500 0.500 0.500
Ag 0.750 0.750 0.750
Os 0.250 0.250 0.250

Computed properties:
Calculated volume = 95 Å³/f.u.
Size of the total moment = 0.000 μB per atom
SG = F-43m (216)
Energy of formation = -83 meV/atom

(12)
Material: Ca2MgW
Method: DFT, GGA-PBE
State: optimized geometry

a = 11.199 Å, b = 11.199 Å, c = 11.199 Å
α = 16.50°, β = 16.50°, γ = 16.50°
Fractional coordinates of all 4 atoms:
Ca 0.000 0.000 0.000
Ca 0.232 0.232 0.232
Mg 0.754 0.754 0.754
W 0.490 0.490 0.490

Computed properties:
Calculated volume = 99 Å³/f.u.
Size of the total moment = 0.000 μB per atom
SG = R3m (160)
Energy of formation = 715 meV/atom

(13)
Material: ZnCdPS2
Method: DFT, GGA-PBE
State: optimized geometry

a = 5.002 Å, b = 5.002 Å, c = 5.034 Å
α = 90.00°, β = 90.00°, γ = 90.00°
Fractional coordinates of all 5 atoms:
Zn 0.000 0.000 0.000
Cd 0.500 0.500 0.500
P 0.500 0.500 0.000
S 0.000 0.500 0.500
S 0.500 0.000 0.500

Computed properties:
Calculated volume = 126 Å³/f.u.
Size of the total moment = 0.291 μB per atom
SG = P4/mmm (123)
ΔE_f (raw) = 982 meV per atom

(14)
Material: RbGaPb
Method: DFT, GGA-PBE
State: optimized geometry

a = 7.326 Å, b = 7.280 Å, c = 9.352 Å
α = 90.00°, β = 114.31°, γ = 90.00°
Fractional coordinates of all 12 atoms:
Rb 0.187 0.121 0.376
Rb 0.187 0.379 0.876
Rb 0.813 0.621 0.124
Rb 0.813 0.879 0.624
Ga 0.406 0.629 0.286
Ga 0.406 0.871 0.786
Ga 0.594 0.129 0.214
Ga 0.594 0.371 0.714
Pb 0.277 0.615 0.540
Pb 0.277 0.885 0.040
Pb 0.723 0.115 0.960
Pb 0.723 0.385 0.460

Computed properties:
Calculated volume = 114 Å³/f.u.
Size of the total moment = 0.000 μB per atom
SG = P2_1/c (14)
Energy of formation = -59 meV/atom

(15)
Material: Rb2CdHg12
Method: DFT, GGA-PBE
State: optimized geometry

a = 7.306 Å, b = 7.306 Å, c = 18.173 Å
α = 90.00°, β = 90.00°, γ = 90.00°
Fractional coordinates of all 30 atoms:
Rb 0.250 0.750 0.245
Rb 0.250 0.750 0.755
Rb 0.750 0.250 0.245
Rb 0.750 0.250 0.755
Cd 0.250 0.750 0.000
Cd 0.750 0.250 0.000
Hg 0.000 0.000 0.088
Hg 0.000 0.000 0.912
Hg 0.000 0.500 0.088
Hg 0.000 0.500 0.912
Hg 0.094 0.594 0.434
Hg 0.094 0.906 0.566
Hg 0.250 0.250 0.183
Hg 0.250 0.250 0.352
Hg 0.250 0.250 0.648
Hg 0.250 0.250 0.817
Hg 0.406 0.594 0.566
Hg 0.406 0.906 0.434
Hg 0.500 0.000 0.088
Hg 0.500 0.000 0.912
Hg 0.500 0.500 0.088
Hg 0.500 0.500 0.912
Hg 0.594 0.094 0.566
Hg 0.594 0.406 0.434
Hg 0.750 0.750 0.183
Hg 0.750 0.750 0.352
Hg 0.750 0.750 0.648
Hg 0.750 0.750 0.817
Hg 0.906 0.094 0.434
Hg 0.906 0.406 0.566

Computed properties:
Calculated volume = 485 Å³/f.u.
Size of the total moment = 0.000 μB per atom
SG = P4/nbm (125)
Energy of formation = -119 meV/atom

(16)
Material: Cs2TmU2S6
Method: DFT, GGA-PBE
State: optimized geometry

a = 6.968 Å, b = 6.968 Å, c = 8.581 Å
α = 97.66°, β = 97.66°, γ = 119.96°
Fractional coordinates of all 11 atoms:
Cs 0.166 0.834 0.000
Cs 0.834 0.166 0.000
Tm 0.000 0.000 0.500
U 0.334 0.666 0.500
U 0.666 0.334 0.500
S 0.057 0.390 0.676
S 0.272 0.272 0.324
S 0.390 0.057 0.676
S 0.610 0.943 0.324
S 0.728 0.728 0.676
S 0.943 0.610 0.324

Computed properties:
Calculated volume = 348 Å³/f.u.
Size of the total moment = 0.455 μB per atom
SG = C2/m (12)
ΔE_f (raw) = -1582 meV per atom

(17)
Material: CsHfSc3
Method: DFT, GGA-PBE
State: optimized geometry

a = 5.601 Å, b = 5.601 Å, c = 5.601 Å
α = 90.00°, β = 90.00°, γ = 90.00°
Fractional coordinates of all 5 atoms:
Cs 0.000 0.000 0.000
Hf 0.500 0.500 0.500
Sc 0.000 0.500 0.500
Sc 0.500 0.000 0.500
Sc 0.500 0.500 0.000

Computed properties:
Calculated volume = 176 Å³/f.u.
Size of the total moment = 0.000 μB per atom
SG = Pm-3m (221)
Energy of formation = 883 meV/atom

(18)
Material: CuNiGeAu
Method: DFT, GGA-PBE
State: optimized geometry

a = 4.326 Å, b = 4.326 Å, c = 4.326 Å
α = 60.00°, β = 60.00°, γ = 60.00°
Fractional coordinates of all 4 atoms:
Cu 0.000 0.000 0.000
Ni 0.500 0.500 0.500
Ge 0.250 0.250 0.250
Au 0.750 0.750 0.750

Computed properties:
Calculated volume = 57 Å³/f.u.
Size of the total moment = 0.000 μB per atom
SG = F-43m (216)
Energy of formation = 19 meV/atom

(19)
Material: BiRhBr6
Method: DFT, GGA-PBE
State: optimized geometry

a = 7.253 Å, b = 7.253 Å, c = 7.253 Å
α = 54.86°, β = 54.86°, γ = 54.86°
Fractional coordinates of all 8 atoms:
Bi 0.000 0.000 0.000
Rh 0.500 0.500 0.500
Br 0.100 0.719 0.447
Br 0.281 0.553 0.900
Br 0.447 0.100 0.719
Br 0.553 0.900 0.281
Br 0.719 0.447 0.100
Br 0.900 0.281 0.553

Computed properties:
Calculated volume = 238 Å³/f.u.
Size of the total moment = 0.000 μB per atom
SG = R-3 (148)
ΔE_f (raw) = -462 meV per atom

(20)
Material: KScTi
Method: DFT, GGA-PBE
State: optimized geometry

a = 4.052 Å, b = 4.229 Å, c = 12.682 Å
α = 99.57°, β = 90.09°, γ = 90.00°
Fractional coordinates of all 6 atoms:
K 0.000 0.000 0.000
K 0.495 0.654 0.305
Sc 0.498 0.378 0.754
Sc 0.997 0.277 0.551
Ti 0.497 0.795 0.588
Ti 0.997 0.860 0.717

Computed properties:
Calculated volume = 107 Å³/f.u.
Size of the total moment = 0.000 μB per atom
SG = P1 (1)
Energy of formation = 320 meV/atom

(21)
Material: TbTm2Pb
Method: DFT, GGA-PBE
State: optimized geometry

a = 3.616 Å, b = 3.616 Å, c = 9.099 Å
α = 90.00°, β = 90.00°, γ = 90.00°
Fractional coordinates of all 4 atoms:
Tb 0.000 0.000 0.000
Tm 0.500 0.500 0.265
Tm 0.500 0.500 0.735
Pb 0.000 0.000 0.500

Computed properties:
Calculated volume = 119 Å³/f.u.
Size of the total moment = 0.000 μB per atom
SG = P4/mmm (123)
Energy of formation = -201 meV/atom

(22)
Material: Dy2YEr12
Method: DFT, GGA-PBE
State: optimized geometry

a = 6.592 Å, b = 6.592 Å, c = 23.837 Å
α = 92.20°, β = 92.20°, γ = 114.69°
Fractional coordinates of all 30 atoms:
Dy 0.072 0.072 0.281
Dy 0.428 0.428 0.718
Dy 0.572 0.572 0.282
Dy 0.928 0.928 0.719
Y 0.250 0.250 0.000
Y 0.750 0.750 0.000
Er 0.032 0.032 0.136
Er 0.046 0.546 0.192
Er 0.085 0.584 0.330
Er 0.139 0.637 0.555
Er 0.142 0.142 0.577
Er 0.234 0.733 0.933
Er 0.267 0.766 0.067
Er 0.355 0.355 0.424
Er 0.363 0.861 0.445
Er 0.416 0.915 0.670
Er 0.454 0.954 0.808
Er 0.467 0.467 0.863
Er 0.533 0.533 0.137
Er 0.546 0.046 0.192
Er 0.584 0.085 0.330
Er 0.637 0.139 0.555
Er 0.645 0.645 0.576
Er 0.733 0.234 0.933
Er 0.766 0.267 0.067
Er 0.858 0.858 0.423
Er 0.861 0.363 0.445
Er 0.915 0.416 0.670
Er 0.954 0.454 0.808
Er 0.968 0.968 0.864

Computed properties:
Calculated volume = 469 Å³/f.u.
Size of the total moment = 0.000 μB per atom
SG = C2/m (12)
Energy of formation = 111 meV/atom

(23)
Material: LiCeDyCd
Method: DFT, GGA-PBE
State: optimized geometry

a = 5.318 Å, b = 5.318 Å, c = 5.318 Å
α = 60.00°, β = 60.00°, γ = 60.00°
Fractional coordinates of all 4 atoms:
Li 0.000 0.000 0.000
Ce 0.750 0.750 0.750
Dy 0.250 0.250 0.250
Cd 0.500 0.500 0.500

Computed properties:
Calculated volume = 106 Å³/f.u.
Size of the total moment = 0.336 μB per atom
SG = F-43m (216)
Energy of formation = -4 meV/atom

Table of VASP energy (eV per atom), in record order: -5.0966; -4.8337; -4.9489; -5.8252; -3.4400; -7.2570; -4.8570; -8.9575; -5.5801; -5.9461; -5.9900; -3.9231; -2.1891; -2.6263; -0.5505; -6.4478; -5.0777; -4.4245; -3.1206; -4.7884; -4.5213; -4.5841; -3.3456